Mn3InO6, relaxed, DFT GGA+U; space-group type = P2_1/c, No. 14; raw total energy = -6.9318 eV per atom
1.0
5.361 0.000 0.000
0.000 5.477 0.000
-5.052 0.000 7.621
Mn In O
6 2 12
Cartesian
0.000 0.000 0.000
-2.526 2.738 3.810
-2.476 0.169 5.942
0.050 2.569 2.131
0.259 2.908 5.489
2.786 5.307 1.679
0.155 0.000 3.810
2.681 2.738 0.000
-0.573 0.546 1.767
-3.099 2.193 5.578
0.863 3.800 0.730
-1.663 4.415 4.540
1.745 0.821 0.237
-0.781 1.917 4.047
1.090 3.560 3.574
-1.436 4.655 7.384
1.973 1.061 3.081
-0.554 1.677 6.891
3.408 3.284 2.043
0.882 4.931 5.853